1.
AcPm2NdSm: relaxed, PBE.

Cell lengths 8.413, 12.362, 7.378 Å; angles 90.00, 90.00, 90.00 degrees
Space group Cmcm (No. 63)
One atom of each set of equivalent atoms:
Ac (0.000, 0.242, 0.250) x4
Pm (0.194, 0.500, 0.000) x8
Nd (0.000, 0.057, 0.750) x4
Sm (0.000, 0.305, 0.750) x4

Properties
- Formation energy: 0.324 eV/atom
- Total moment: 0.00 μB/atom

---

2.
AcPm3Nd2Sm6: relaxed, PBE.

Cell lengths 6.370, 11.033, 12.156 Å; angles 90.00, 100.09, 90.00 degrees
Space group C2/m (No. 12)
One atom of each set of equivalent atoms:
Ac (0.000, 0.000, 0.000) x2
Pm (0.000, 0.167, 0.500) x4
Pm (0.000, 0.500, 0.500) x2
Nd (0.000, 0.333, 0.000) x4
Sm (0.247, 0.332, 0.747) x8
Sm (0.250, 0.000, 0.746) x4

Properties
- Formation energy: 0.021 eV/atom
- Total moment: 0.00 μB/atom

---

3.
Ac5Pm2NdSm: relaxed, PBE.

Cell lengths 8.487, 8.487, 20.719 Å; angles 90.00, 90.00, 90.00 degrees
Space group I4/mcm (No. 140)
One atom of each set of equivalent atoms:
Ac (0.000, 0.000, 0.000) x4
Ac (0.216, 0.284, 0.135) x16
Pm (0.122, 0.378, 0.500) x8
Nd (0.000, 0.500, 0.250) x4
Sm (0.000, 0.000, 0.250) x4

Properties
- Formation energy: 0.277 eV/atom
- Total moment: 0.00 μB/atom